1.
The following is a meta-GGA SCAN calculation of a PBEsol-optimized structure of LaInPb, from the Alexandria database.

Structure (POSCAR):
```
LaInPb
1.0
0.000 3.655 3.655
3.655 0.000 3.655
3.655 3.655 0.000
La In Pb
1 1 1
direct
0.000 0.000 0.000
0.500 0.500 0.500
0.250 0.250 0.250
```

- excess energy over the best structure of this formula in the dataset (meV/atom) = 319.6
- density of states at the Fermi level (states/eV/f.u.) = 2.7
- calculated formation energy (kcal/mol of atoms) = -8.867

=====

2.
The following is a meta-GGA SCAN calculation of a PBEsol-optimized structure of La2InPb, from the Alexandria database.

Structure (POSCAR):
```
La2InPb
1.0
5.863 0.000 0.000
0.000 5.863 0.000
0.000 0.000 3.452
La In Pb
2 1 1
direct
0.000 0.500 0.000
0.500 0.000 0.000
0.000 0.000 0.500
0.500 0.500 0.500
```

- density of states at the Fermi level (states/eV/f.u.) = 2.4
- calculated formation energy (kcal/mol of atoms) = -16.987

=====

3.
The following is a meta-GGA SCAN calculation of a PBEsol-optimized structure of La2InPd2, from the Alexandria database.

Structure (POSCAR):
```
La2InPd2
1.0
7.765 0.000 0.000
0.000 7.765 0.000
0.000 0.000 3.938
La In Pd
4 2 4
direct
0.175 0.325 0.000
0.325 0.825 0.000
0.675 0.175 0.000
0.825 0.675 0.000
0.000 0.000 0.500
0.500 0.500 0.500
0.128 0.628 0.500
0.372 0.128 0.500
0.628 0.872 0.500
0.872 0.372 0.500
```

- density of states at the Fermi level (states/eV/f.u.) = 2.9
- calculated formation energy (kcal/mol of atoms) = -21.662